Density functional theory data (GGA-PBE) for CaTb3Pd4 after structural relaxation.

Lattice parameters (Å, degrees): 6.0950 6.0950 6.0950 109.47 109.47 109.47
Last column: nearest neighbours and their distance in Å.
Positions (direct):
Ca 0.0000 0.0000 0.0000  8 Pd 3.05
Tb 0.0000 0.5000 0.5000  8 Pd 3.05
Tb 0.5000 0.0000 0.5000  8 Pd 3.05
Tb 0.5000 0.5000 0.0000  8 Pd 3.05
Pd 0.0000 0.0000 0.4999  2 Ca 3.05, 6 Tb 3.05
Pd 0.5001 0.5001 0.5001  2 Ca 3.05, 6 Tb 3.05
Pd 0.4999 0.0000 0.0000  2 Ca 3.05, 6 Tb 3.05
Pd 0.0000 0.4999 0.0000  2 Ca 3.05, 6 Tb 3.05

Summary:
- density (g/cm³) = 8.98
- calculated volume (Å³/atom) = 21.8
- energy relative to the elements (eV per atom) = -0.825
- DOS at the Fermi energy (states/eV/atom) = 0.62

---

Density functional theory data (GGA-PBE) for CrCoN2 after structural relaxation.

Lattice parameters (Å, degrees): 4.2982 4.2982 5.2846 66.00 66.00 90.00
Last column: nearest neighbours and their distance in Å.
Positions (direct):
Cr 0.5000 0.5000 0.0000  4 N 1.85
Cr 0.2500 0.7500 0.5000  4 N 1.85
Co 0.0000 0.0000 0.0000  4 N 1.88
Co 0.7500 0.2500 0.5000  4 N 1.88
N 0.6177 0.1250 0.2500  2 Cr 1.85, 2 Co 1.88
N 0.1323 0.6250 0.2500  2 Cr 1.85, 2 Co 1.88
N 0.3750 0.3823 0.7500  2 Cr 1.85, 2 Co 1.88
N 0.8750 0.8677 0.7500  2 Cr 1.85, 2 Co 1.88

Summary:
- density (g/cm³) = 5.78
- calculated volume (Å³/atom) = 10.0
- ΔE to the lowest computed polymorph (meV/atom) = 0.0
- formation energy (no corrections) (kJ/mol of formula units) = -88.1
- DOS at the Fermi energy (states/eV/atom) = 0.71

---

Density functional theory data (GGA-PBE) for PmGeIr3 after structural relaxation.

Lattice parameters (Å, degrees): 6.4461 6.4461 6.4461 108.09 129.77 92.86
Last column: nearest neighbours and their distance in Å.
Positions (direct):
Pm 0.9903 0.7403 0.7500  7 Ir 2.89-3.23
Pm 0.0097 0.2597 0.2500  7 Ir 2.89-3.23
Ge 0.5000 0.5000 0.0000  6 Ir 2.50-2.63
Ge 0.5000 0.0000 0.5000  6 Ir 2.50-2.63
Ir 0.5000 0.2948 0.2948  2 Ge 2.63, 4 Ir 2.68-2.74
Ir 0.0000 0.7052 0.2052  2 Ge 2.63, 4 Ir 2.68-2.74
Ir 0.5000 0.7052 0.7052  2 Ge 2.63, 4 Ir 2.68-2.74
Ir 0.0000 0.2948 0.7948  2 Ge 2.63, 4 Ir 2.68-2.74
Ir 0.6841 0.9341 0.2500  2 Ge 2.50, 4 Ir 2.68
Ir 0.3159 0.0659 0.7500  2 Ge 2.50, 4 Ir 2.68

Summary:
- density (g/cm³) = 14.33
- calculated volume (Å³/atom) = 18.4
- energy relative to the elements (eV per atom) = -0.412
- DOS at the Fermi energy (states/eV/atom) = 0.71

---

- Which of these has the lowest density?
  CrCoN2